Fe2PRh (GGA-PBE, optimized geometry); formation enthalpy at 0 K = -119.7 meV per atom; DOS at the Fermi energy = 2.72 states/eV/cell; V = 49.5 Å³/cell; total magnetization = 5.064 μB/cell; space group = No. 123
1.0
-3.704 0.163 1.413
-0.869 -2.809 -1.955
0.920 -2.135 2.658
P Rh Fe
1 1 2
direct
0.500 0.500 0.000 P
0.500 0.000 0.500 Rh
0.000 0.500 0.500 Fe
0.000 0.000 0.000 Fe